[1]
DFT (PBE) results for a geometry-optimized RbHoNiS3 structure.

a = 7.6042 Å, b = 7.6042 Å, c = 10.3175 Å
α = 90.00°, β = 90.00°, γ = 150.23°
With the nearest neighbours (Å) after each atom.
Sites, in units of the cell vectors:
Rb1 0.2425 0.7575 0.7500  8 S 3.39-3.76
Rb2 0.7575 0.2425 0.2500  8 S 3.39-3.76
Ho1 0.5000 0.5000 0.0000  6 S 2.69-2.71
Ho2 0.5000 0.5000 0.5000  6 S 2.69-2.71
Ni1 0.0318 0.9682 0.2500  4 S 2.26-2.31
Ni2 0.9682 0.0318 0.7500  4 S 2.26-2.31
S1 0.1185 0.8815 0.0691  1 Ni 2.26
S2 0.1185 0.8815 0.4309  1 Ni 2.26
S3 0.4479 0.5521 0.2500  2 Ni 2.31
S4 0.5521 0.4479 0.7500  2 Ni 2.31
S5 0.8815 0.1185 0.5691  1 Ni 2.26
S6 0.8815 0.1185 0.9309  1 Ni 2.26

Output
crystal system	orthorhombic
ΔE to the lowest computed polymorph	21.9	meV per atom

[2]
DFT (PBE) results for a geometry-optimized RbHoNiTe3 structure.

a = 9.1078 Å, b = 9.1078 Å, c = 10.5956 Å
α = 90.00°, β = 90.00°, γ = 153.18°
With the nearest neighbours (Å) after each atom.
Sites, in units of the cell vectors:
Rb1 0.2459 0.7541 0.7500  6 Te 3.63-3.70
Rb2 0.7541 0.2459 0.2500  6 Te 3.63-3.70
Ho1 0.5000 0.5000 0.0000  6 Te 3.00-3.06
Ho2 0.5000 0.5000 0.5000  6 Te 3.00-3.06
Ni1 0.0085 0.9915 0.2500  4 Te 2.53-2.63
Ni2 0.9915 0.0085 0.7500  4 Te 2.53-2.63
Te1 0.1132 0.8868 0.0870  1 Ni 2.53
Te2 0.1132 0.8868 0.4130  1 Ni 2.53
Te3 0.4205 0.5795 0.2500  2 Ni 2.63
Te4 0.5795 0.4205 0.7500  2 Ni 2.63
Te5 0.8868 0.1132 0.5870  1 Ni 2.53
Te6 0.8868 0.1132 0.9130  1 Ni 2.53

Output
crystal system	orthorhombic
total energy	-4.315	eV per atom

| no. | spin magnetization (μB/cell) |
| --- | --- |
| 1 | 3.8 |
| 2 | 0.0 |